Record 1
CdTePS2 PBE relaxed; formation energy (no corrections) = 0.7171 eV/atom; ΔE to the lowest computed polymorph = 0 meV per atom; space-group type = P4/mmm (123)
1.0
5.031 0.000 0.000
0.000 5.031 0.000
0.000 0.000 5.181
Cd Te P S
1 1 1 2
direct
0.000 0.000 0.000
0.500 0.500 0.500
0.500 0.500 0.000
0.000 0.500 0.500
0.500 0.000 0.500

Record 2
PmSm3Si2 PBE relaxed; formation energy (no corrections) = -0.1943 eV/atom; space-group type = R-3c (167)
1.0
3.830 2.211 6.820
-3.830 2.211 6.820
0.000 -4.423 6.820
Pm Sm Si
2 6 4
direct
0.000 0.000 0.000
0.500 0.500 0.500
0.023 0.750 0.477
0.250 0.523 0.977
0.477 0.023 0.750
0.523 0.977 0.250
0.750 0.477 0.023
0.977 0.250 0.523
0.145 0.145 0.145
0.355 0.355 0.355
0.645 0.645 0.645
0.855 0.855 0.855

Record 3
TaTiGe2 PBE relaxed; ΔE to the lowest computed polymorph = 118 meV per atom; formation energy from the elements = -0.102 eV/atom; space-group type = Fm-3m (225)
1.0
0.000 3.207 3.207
3.207 0.000 3.207
3.207 3.207 0.000
Ta Ti Ge
1 1 2
direct
0.000 0.000 0.000
0.500 0.500 0.500
0.250 0.250 0.250
0.750 0.750 0.750

Record 4
SrCd2ClO PBE relaxed; formation energy (no corrections) = -0.7639 eV/atom; space-group type = P4/mmm (123)
1.0
4.435 0.000 0.000
0.000 4.435 0.000
0.000 0.000 7.145
Sr Cd Cl O
1 2 1 1
direct
0.000 0.000 0.000
0.000 0.500 0.500
0.500 0.000 0.500
0.500 0.500 0.000
0.500 0.500 0.500

Record 5
BeNb2HAu PBE relaxed; space-group type = P4/mmm (123)
1.0
3.971 0.000 0.000
0.000 3.971 0.000
0.000 0.000 4.225
Be Nb H Au
1 2 1 1
direct
0.000 0.000 0.000
0.000 0.500 0.500
0.500 0.000 0.500
0.000 0.000 0.500
0.500 0.500 0.000

Record 6
NaHo2Pa PBE relaxed; formation energy from the elements = 0.205 eV/atom; space-group type = R-3m (166)
1.0
1.698 0.981 12.294
-1.698 0.981 12.294
0.000 -1.961 12.294
Na Ho Pa
1 2 1
direct
0.000 0.000 0.000
0.094 0.094 0.094
0.906 0.906 0.906
0.500 0.500 0.500

Record 7
FeGeN PBE relaxed; formation energy (no corrections) = 0.2628 eV/atom; ΔE to the lowest computed polymorph = 95 meV per atom; space-group type = I4mm (107)
1.0
-1.341 1.341 5.182
1.341 -1.341 5.182
1.341 1.341 -5.182
Fe Ge N
1 1 1
direct
0.000 0.000 0.000
0.245 0.245 0.000
0.457 0.457 0.000

Computed E, in the same sequence as the records: -2.827 -5.153 -7.348 -2.827 -6.132 -4.788 -6.872 eV per atom.
Computed magnetization, in the same sequence as the records: 0.0 0.0 0.0 0.0 0.0 0.0 2.1 μB per cell.